No. 1
ErSc3Sn: optimized geometry, PBE.

Values from the calculation:
**Crystal system**: trigonal
**Electronic total energy**: -54.4 eV/cell
**SG**: R3c (161)
**Energy of formation**: 35 kJ/mol of formula units

a = 7.0412 Å, b = 7.0412 Å, c = 7.0412 Å
α = 67.79°, β = 67.79°, γ = 67.79°
Atoms (fractional coordinates):
Er  0.0000  0.0000  0.0000
Er  0.5000  0.5000  0.5000
Sc  0.0287  0.8853  0.5693
Sc  0.0693  0.3853  0.5287
Sc  0.3853  0.5287  0.0693
Sc  0.5287  0.0693  0.3853
Sc  0.5693  0.0287  0.8853
Sc  0.8853  0.5693  0.0287
Sn  0.1881  0.1881  0.1881
Sn  0.6881  0.6881  0.6881

=====

No. 2
BaRu2Au: optimized geometry, PBE.

Values from the calculation:
**Crystal system**: monoclinic
**ΔE to the lowest computed polymorph**: 135 meV per atom
**Electronic total energy**: -45.4 eV/cell
**SG**: C2/m (12)
**Energy of formation**: 102 kJ/mol of formula units

a = 8.5309 Å, b = 4.3242 Å, c = 5.9413 Å
α = 90.00°, β = 110.48°, γ = 90.00°
Atoms (fractional coordinates):
Ba  0.0000  0.0000  0.0000
Ba  0.5000  0.5000  0.0000
Ru  0.2049  0.0000  0.5539
Ru  0.2951  0.5000  0.4461
Ru  0.7049  0.5000  0.5539
Ru  0.7951  0.0000  0.4461
Au  0.0000  0.5000  0.5000
Au  0.5000  0.0000  0.5000

=====

No. 3
Li4Pa3NiSe8: optimized geometry, PBE.

Values from the calculation:
**Crystal system**: monoclinic
**Electronic total energy**: -87.8 eV/cell
**SG**: C2/m (12)
**Uncorrected formation energy**: -1.12 eV/atom

a = 7.8728 Å, b = 7.8728 Å, c = 8.0187 Å
α = 119.45°, β = 119.45°, γ = 59.93°
Atoms (fractional coordinates):
Li  0.0000  0.0000  0.0000
Li  0.0000  0.5000  0.0000
Li  0.5000  0.0000  0.0000
Li  0.5000  0.5000  0.0000
Pa  0.0000  0.0000  0.5000
Pa  0.0000  0.5000  0.5000
Pa  0.5000  0.0000  0.5000
Ni  0.5000  0.5000  0.5000
Se  0.2573  0.2573  0.2496
Se  0.2568  0.2568  0.7706
Se  0.2585  0.7338  0.2508
Se  0.2662  0.7415  0.7492
Se  0.7338  0.2585  0.2508
Se  0.7415  0.2662  0.7492
Se  0.7432  0.7432  0.2294
Se  0.7427  0.7427  0.7504

=====

No. 4
ZrTaIn2: optimized geometry, PBE.

Values from the calculation:
**Crystal system**: tetragonal
**ΔE to the lowest computed polymorph**: 109 meV per atom
**Electronic total energy**: -25.6 eV/cell
**SG**: P4mm (99)
**Energy of formation**: 30 kJ/mol of formula units

a = 3.7542 Å, b = 3.7542 Å, c = 6.1883 Å
α = 90.00°, β = 90.00°, γ = 90.00°
Atoms (fractional coordinates):
Zr  0.0000  0.0000  0.0000
Ta  0.5000  0.5000  0.7871
In  0.0000  0.0000  0.5278
In  0.5000  0.5000  0.2707

=====

Number 1: Fermi-level density of states 17.088 states/eV/cell. Number 2: Fermi-level density of states 6.968 states/eV/cell. Number 3: Fermi-level density of states 21.869 states/eV/cell. Number 4: Fermi-level density of states 2.821 states/eV/cell.